Run one
Here is a relaxed PRhSe2N crystal from Alexandria via LeMat-Bulk. Energies are from PBE.

The structure in POSCAR format:
```
PRhSe2N
1.0
4.939 0.000 0.000
0.000 4.939 0.000
0.000 0.000 3.168
Se N P Rh
2 1 1 1
Direct
0.500 0.000 0.000
0.000 0.500 0.000
0.000 0.000 0.500
0.000 0.000 0.000
0.500 0.500 0.500
```

Values from the calculation:
- SG: P4/mmm
- Size of the total moment: 0.0 μB per cell
- Calculated volume: 77.3 Å³ per cell

***

Run two
Here is a relaxed PRhSe2N crystal from Alexandria via LeMat-Bulk. Energies are from PBE.

The structure in POSCAR format:
```
PRhSe2N
1.0
5.059 0.000 0.000
0.000 5.059 0.000
0.000 0.000 3.632
N P Se Rh
1 1 2 1
Direct
0.000 0.000 0.500
0.500 0.500 0.500
0.000 0.500 0.000
0.500 0.000 0.000
0.000 0.000 0.000
```

Values from the calculation:
- SG: P4/mmm
- Size of the total moment: 0.0 μB per cell
- Calculated volume: 93.0 Å³ per cell

***

run one wins, 145 meV per atom ahead of the next structure.

***

Run one
Here is a relaxed Te2PRhN crystal from Alexandria via LeMat-Bulk. Energies are from PBE.

The structure in POSCAR format:
```
Te2PRhN
1.0
-0.245 1.271 -5.234
-1.391 -5.076 -1.167
-3.526 0.879 0.378
Te Rh N P
2 1 1 1
Direct
0.500 0.000 0.000
0.000 0.500 0.000
0.000 0.000 0.000
0.000 0.000 0.500
0.500 0.500 0.500
```

Values from the calculation:
- SG: P4/mmm
- Size of the total moment: 0.0 μB per cell
- Calculated volume: 106.2 Å³ per cell

***

Run two
Here is a relaxed Te2PRhN crystal from Alexandria via LeMat-Bulk. Energies are from PBE.

The structure in POSCAR format:
```
Te2PRhN
1.0
5.286 0.000 0.000
0.000 5.286 0.000
0.000 0.000 3.232
N Rh Te P
1 1 2 1
Direct
0.000 0.000 0.500
0.500 0.500 0.500
0.500 0.000 0.000
0.000 0.500 0.000
0.000 0.000 0.000
```

Values from the calculation:
- SG: P4/mmm
- Size of the total moment: 0.0 μB per cell
- Calculated volume: 90.3 Å³ per cell

***

run two wins, 105 meV per atom ahead of the next structure.

***

Run one
Here is a relaxed TePRhN2 crystal from Alexandria via LeMat-Bulk. Energies are from PBE.

The structure in POSCAR format:
```
TePRhN2
1.0
3.500 0.000 0.000
0.000 3.500 0.000
0.000 0.000 7.747
Te N Rh P
1 2 1 1
Direct
0.000 0.000 0.500
0.500 0.000 0.000
0.000 0.500 0.000
0.500 0.500 0.500
0.000 0.000 0.000
```

Values from the calculation:
- SG: P4/mmm
- Size of the total moment: 0.7 μB per cell
- Calculated volume: 94.9 Å³ per cell

***

Run two
Here is a relaxed TePRhN2 crystal from Alexandria via LeMat-Bulk. Energies are from PBE.

The structure in POSCAR format:
```
TePRhN2
1.0
3.787 0.000 0.000
0.000 3.787 0.000
0.000 0.000 6.164
N Rh Te P
2 1 1 1
Direct
0.500 0.000 0.000
0.000 0.500 0.000
0.000 0.000 0.000
0.000 0.000 0.500
0.500 0.500 0.500
```

Values from the calculation:
- SG: P4/mmm
- Size of the total moment: 0.4 μB per cell
- Calculated volume: 88.4 Å³ per cell

***

run one wins, 140 meV per atom ahead of the next structure.

***

Run one
Here is a relaxed P3RuN crystal from Alexandria via LeMat-Bulk. Energies are from PBE.

The structure in POSCAR format:
```
P3RuN
1.0
3.275 0.002 -0.002
0.858 4.008 -0.003
0.517 1.479 5.587
P Ru N
3 1 1
Direct
0.786 0.944 0.655
0.290 0.048 0.383
0.349 0.519 0.088
0.931 0.363 0.872
0.200 0.885 0.161
```

Values from the calculation:
- SG: P1
- Size of the total moment: 0.0 μB per cell
- Calculated volume: 73.4 Å³ per cell

***

Run two
Here is a relaxed P3RuN crystal from Alexandria via LeMat-Bulk. Energies are from PBE.

The structure in POSCAR format:
```
P3RuN
1.0
2.980 0.000 0.000
1.249 4.599 -0.001
1.353 2.092 5.010
P N Ru
3 1 1
Direct
0.837 0.810 0.484
0.443 0.223 0.560
0.474 0.581 0.132
0.863 0.807 0.157
0.780 0.337 0.826
```

Values from the calculation:
- SG: P1
- Size of the total moment: 0.0 μB per cell
- Calculated volume: 68.7 Å³ per cell

***

Run three
Here is a relaxed P3RuN crystal from Alexandria via LeMat-Bulk. Energies are from PBE.

The structure in POSCAR format:
```
P3RuN
1.0
4.042 0.002 0.000
0.851 4.434 0.000
0.518 2.067 4.068
N P Ru
1 3 1
Direct
0.681 0.216 0.515
0.002 0.933 0.859
0.375 0.037 0.447
0.524 0.476 0.720
0.017 0.354 0.023
```

Values from the calculation:
- SG: P1
- Size of the total moment: 0.0 μB per cell
- Calculated volume: 72.9 Å³ per cell

***

Run four
Here is a relaxed P3RuN crystal from Alexandria via LeMat-Bulk. Energies are from PBE.

The structure in POSCAR format:
```
P3RuN
1.0
3.769 -0.001 0.001
-0.057 4.407 0.000
-0.188 -1.138 4.591
P Ru N
3 1 1
Direct
0.302 0.520 0.945
0.320 0.774 0.584
0.907 0.154 0.376
0.827 0.619 0.269
0.200 0.175 0.668
```

Values from the calculation:
- SG: P1
- Size of the total moment: 0.0 μB per cell
- Calculated volume: 76.3 Å³ per cell

***

run four wins, 31 meV per atom ahead of the next structure.

***

Run one
Here is a relaxed P3RuN crystal from Alexandria via LeMat-Bulk. Energies are from PBE.

The structure in POSCAR format:
```
P3RuN
1.0
4.500 0.000 0.000
0.000 4.500 0.000
0.000 0.000 4.500
P Ru N
3 1 1
Direct
0.500 0.000 0.000
0.000 0.000 0.500
0.000 0.500 0.000
0.000 0.000 0.000
0.500 0.500 0.500
```

Values from the calculation:
- SG: Pm-3m
- Size of the total moment: 0.0 μB per cell
- Calculated volume: 91.1 Å³ per cell

***

Run two
Here is a relaxed P3RuN crystal from Alexandria via LeMat-Bulk. Energies are from PBE.

The structure in POSCAR format:
```
P3RuN
1.0
4.997 0.000 -0.038
0.000 2.838 0.000
-1.388 0.000 4.916
Ru P N
1 3 1
Direct
0.423 0.500 0.199
0.199 0.000 0.451
0.830 0.500 0.548
0.504 0.000 0.872
0.802 0.000 0.771
```

Values from the calculation:
- SG: Pm
- Size of the total moment: 0.0 μB per cell
- Calculated volume: 69.6 Å³ per cell

***

run two wins, 1668 meV per atom ahead of the next structure.

***

Run one
Here is a relaxed PRuSN2 crystal from Alexandria via LeMat-Bulk. Energies are from PBE.

The structure in POSCAR format:
```
PRuSN2
1.0
-3.356 -1.141 1.208
1.070 -3.566 -0.398
1.772 -0.017 4.907
Ru P N S
1 1 2 1
Direct
0.000 0.000 0.000
0.500 0.500 0.500
0.500 0.000 0.000
0.000 0.500 0.000
0.000 0.000 0.500
```

Values from the calculation:
- SG: P4/mmm
- Size of the total moment: 1.0 μB per cell
- Calculated volume: 73.2 Å³ per cell

***

Run two
Here is a relaxed PRuSN2 crystal from Alexandria via LeMat-Bulk. Energies are from PBE.

The structure in POSCAR format:
```
PRuSN2
1.0
-0.563 1.005 3.068
-0.519 -3.102 0.921
7.696 -0.793 1.671
N Ru S P
2 1 1 1
Direct
0.500 0.000 0.000
0.000 0.500 0.000
0.500 0.500 0.500
0.000 0.000 0.500
0.000 0.000 0.000
```

Values from the calculation:
- SG: P4/mmm
- Size of the total moment: 0.7 μB per cell
- Calculated volume: 85.0 Å³ per cell

***

run two wins, 147 meV per atom ahead of the next structure.

***

Run one
Here is a relaxed PRuSe2N crystal from Alexandria via LeMat-Bulk. Energies are from PBE.

The structure in POSCAR format:
```
PRuSe2N
1.0
4.896 0.000 0.000
0.000 4.896 0.000
0.000 0.000 3.172
N Se Ru P
1 2 1 1
Direct
0.000 0.000 0.500
0.500 0.000 0.000
0.000 0.500 0.000
0.500 0.500 0.500
0.000 0.000 0.000
```

Values from the calculation:
- SG: P4/mmm
- Size of the total moment: 0.0 μB per cell
- Calculated volume: 76.1 Å³ per cell

***

Run two
Here is a relaxed PRuSe2N crystal from Alexandria via LeMat-Bulk. Energies are from PBE.

The structure in POSCAR format:
```
PRuSe2N
1.0
-2.105 4.488 -0.730
-1.072 0.292 4.886
3.213 1.606 0.609
P Ru Se N
1 1 2 1
Direct
0.500 0.500 0.500
0.000 0.000 0.000
0.500 0.000 0.000
0.000 0.500 0.000
0.000 0.000 0.500
```

Values from the calculation:
- SG: P4/mmm
- Size of the total moment: 0.0 μB per cell
- Calculated volume: 91.5 Å³ per cell

***

run two wins, 94 meV per atom ahead of the next structure.

***

Run one
Here is a relaxed PRuSeN2 crystal from Alexandria via LeMat-Bulk. Energies are from PBE.

The structure in POSCAR format:
```
PRuSeN2
1.0
-2.575 0.446 -2.115
-1.174 -3.050 0.787
-4.315 3.190 5.926
P N Ru Se
1 2 1 1
Direct
0.000 0.000 0.000
0.500 0.000 0.000
0.000 0.500 0.000
0.500 0.500 0.500
0.000 0.000 0.500
```

Values from the calculation:
- SG: P4/mmm
- Size of the total moment: 0.8 μB per cell
- Calculated volume: 90.4 Å³ per cell

***

Run two
Here is a relaxed PRuSeN2 crystal from Alexandria via LeMat-Bulk. Energies are from PBE.

The structure in POSCAR format:
```
PRuSeN2
1.0
3.768 0.000 0.000
0.000 3.768 0.000
0.000 0.000 5.500
N P Se Ru
2 1 1 1
Direct
0.500 0.000 0.000
0.000 0.500 0.000
0.500 0.500 0.500
0.000 0.000 0.500
0.000 0.000 0.000
```

Values from the calculation:
- SG: P4/mmm
- Size of the total moment: 1.2 μB per cell
- Calculated volume: 78.1 Å³ per cell

***

run two wins, 59 meV per atom ahead of the next structure.

***

Run one
Here is a relaxed SbPS2N crystal from Alexandria via LeMat-Bulk. Energies are from PBE.

The structure in POSCAR format:
```
SbPS2N
1.0
-0.254 0.565 5.057
-4.797 -1.716 -0.049
1.753 -4.918 0.638
P S Sb N
1 2 1 1
Direct
0.000 0.000 0.500
0.500 0.000 0.000
0.000 0.500 0.000
0.000 0.000 0.000
0.500 0.500 0.500
```

Values from the calculation:
- SG: P4/mmm
- Size of the total moment: 4.6 μB per cell
- Calculated volume: 136.6 Å³ per cell

***

Run two
Here is a relaxed SbPS2N crystal from Alexandria via LeMat-Bulk. Energies are from PBE.

The structure in POSCAR format:
```
SbPS2N
1.0
-4.545 -2.140 0.651
0.734 -2.819 -4.144
1.607 -2.755 2.159
Sb N P S
1 1 1 2
Direct
0.000 0.000 0.000
0.000 0.000 0.500
0.500 0.500 0.500
0.500 0.000 0.000
0.000 0.500 0.000
```

Values from the calculation:
- SG: P4/mmm
- Size of the total moment: 0.0 μB per cell
- Calculated volume: 98.8 Å³ per cell

***

run two wins, 555 meV per atom ahead of the next structure.

***

Run one
Here is a relaxed SbPS2N crystal from Alexandria via LeMat-Bulk. Energies are from PBE.

The structure in POSCAR format:
```
SbPS2N
1.0
4.843 0.000 0.000
0.000 4.843 0.000
0.000 0.000 3.360
S P N Sb
2 1 1 1
Direct
0.000 0.500 0.000
0.500 0.000 0.000
0.000 0.000 0.000
0.000 0.000 0.500
0.500 0.500 0.500
```

Values from the calculation:
- SG: P4/mmm
- Size of the total moment: 0.0 μB per cell
- Calculated volume: 78.8 Å³ per cell

***

Run two
Here is a relaxed SbPS2N crystal from Alexandria via LeMat-Bulk. Energies are from PBE.

The structure in POSCAR format:
```
SbPS2N
1.0
-0.938 1.866 -3.833
3.494 -1.912 -1.786
-2.297 -3.247 -1.019
N S P Sb
1 2 1 1
Direct
0.000 0.000 0.000
0.000 0.500 0.000
0.500 0.000 0.000
0.000 0.000 0.500
0.500 0.500 0.500
```

Values from the calculation:
- SG: P4/mmm
- Size of the total moment: 0.0 μB per cell
- Calculated volume: 78.2 Å³ per cell

***

run one wins, 455 meV per atom ahead of the next structure.

***

Run one
Here is a relaxed SbPSN2 crystal from Alexandria via LeMat-Bulk. Energies are from PBE.

The structure in POSCAR format:
```
SbPSN2
1.0
3.961 0.000 0.000
0.000 3.961 0.000
0.000 0.000 5.216
S N P Sb
1 2 1 1
Direct
0.000 0.000 0.500
0.000 0.500 0.000
0.500 0.000 0.000
0.500 0.500 0.500
0.000 0.000 0.000
```

Values from the calculation:
- SG: P4/mmm
- Size of the total moment: 0.4 μB per cell
- Calculated volume: 81.8 Å³ per cell

***

Run two
Here is a relaxed SbPSN2 crystal from Alexandria via LeMat-Bulk. Energies are from PBE.

The structure in POSCAR format:
```
SbPSN2
1.0
3.694 0.000 0.000
0.000 3.694 0.000
0.000 0.000 4.579
N P S Sb
2 1 1 1
Direct
0.500 0.000 0.000
0.000 0.500 0.000
0.000 0.000 0.000
0.000 0.000 0.500
0.500 0.500 0.500
```

Values from the calculation:
- SG: P4/mmm
- Size of the total moment: 0.0 μB per cell
- Calculated volume: 62.5 Å³ per cell

***

run two wins, 674 meV per atom ahead of the next structure.

***

Run one
Here is a relaxed ScPS2N crystal from Alexandria via LeMat-Bulk. Energies are from PBE.

The structure in POSCAR format:
```
ScPS2N
1.0
-4.652 0.042 0.286
0.283 -0.328 4.641
0.045 3.372 0.235
Sc S N P
1 2 1 1
Direct
0.500 0.500 0.500
0.000 0.500 0.000
0.500 0.000 0.000
0.000 0.000 0.500
0.000 0.000 0.000
```

Values from the calculation:
- SG: P4/mmm
- Size of the total moment: 0.0 μB per cell
- Calculated volume: 73.5 Å³ per cell

***

Run two
Here is a relaxed ScPS2N crystal from Alexandria via LeMat-Bulk. Energies are from PBE.

The structure in POSCAR format:
```
ScPS2N
1.0
-3.861 1.714 0.816
-1.896 -3.566 -1.482
0.078 -1.531 3.584
N Sc S P
1 1 2 1
Direct
0.000 0.000 0.000
0.500 0.500 0.500
0.000 0.500 0.000
0.500 0.000 0.000
0.000 0.000 0.500
```

Values from the calculation:
- SG: P4/mmm
- Size of the total moment: 0.0 μB per cell
- Calculated volume: 72.1 Å³ per cell

***

run one wins, 396 meV per atom ahead of the next structure.